! TlOsRhPb2 (GGA-PBE, optimized geometry); values from VASP
! * calculated formation energy: 1.975 eV per atom
! * total DFT energy (no corrections): -3.6977 eV per atom
! * calculated volume: 157.5 Å³ per cell
&SYSTEM
  ibrav = 0, nat = 5, ntyp = 4
/
ATOMIC_SPECIES
Tl 204.38 Tl.upf
Os 190.23 Os.upf
Rh 102.91 Rh.upf
Pb 207.20 Pb.upf
CELL_PARAMETERS angstrom
5.6246 0.0000 0.0000
0.0000 5.6246 0.0000
0.0000 0.0000 4.9776
ATOMIC_POSITIONS crystal
Tl 0.0000 0.0000 0.0000
Os 0.5000 0.5000 0.5000
Rh 0.0000 0.0000 0.5000
Pb 0.0000 0.5000 0.0000
Pb 0.5000 0.0000 0.0000

***

! SrAgF4 (GGA-PBE, optimized geometry); values from VASP
! * offset from the most stable computed form: 57 meV per atom
! * total DFT energy (no corrections): -4.4825 eV per atom
! * calculated volume: 193.1 Å³ per cell
! * formation energy (no corrections): -14.9 eV per formula unit
&SYSTEM
  ibrav = 0, nat = 12, ntyp = 3
/
ATOMIC_SPECIES
Sr 87.62 Sr.upf
Ag 107.87 Ag.upf
F 19.00 F.upf
CELL_PARAMETERS angstrom
-3.0158 3.0158 5.3068
3.0158 -3.0158 5.3068
3.0158 3.0158 -5.3068
ATOMIC_POSITIONS crystal
Sr 0.3750 0.1250 0.2500
Sr 0.6250 0.8750 0.7500
Ag 0.1250 0.3750 0.7500
Ag 0.8750 0.6250 0.2500
F 0.0295 0.1073 0.2949
F 0.2346 0.5295 0.4222
F 0.3124 0.7346 0.2051
F 0.3927 0.1876 0.9222
F 0.6073 0.8124 0.0778
F 0.6876 0.2654 0.7949
F 0.7654 0.4705 0.5778
F 0.9705 0.8927 0.7051

***

! PmY2Ho2Sc2 (GGA-PBE, optimized geometry); values from VASP
! * calculated formation energy: 0.052 eV per atom
! * total DFT energy (no corrections): -5.5909 eV per atom
! * calculated volume: 209.0 Å³ per cell
&SYSTEM
  ibrav = 0, nat = 7, ntyp = 4
/
ATOMIC_SPECIES
Pm 145.00 Pm.upf
Y 88.91 Y.upf
Ho 164.93 Ho.upf
Sc 44.96 Sc.upf
CELL_PARAMETERS angstrom
5.5279 -2.4630 0.0000
5.5279 2.4630 0.0000
-1.0875 0.0000 7.6754
ATOMIC_POSITIONS crystal
Pm 0.0000 0.0000 0.0000
Y 0.2881 0.2881 0.8477
Y 0.7119 0.7119 0.1523
Ho 0.4252 0.4252 0.2941
Ho 0.5748 0.5748 0.7059
Sc 0.1407 0.1407 0.4323
Sc 0.8593 0.8593 0.5677

***

! LiCuW2 (GGA-PBE, optimized geometry); values from VASP
! * calculated formation energy: 0.371 eV per atom
! * offset from the most stable computed form: 126 meV per atom
! * total DFT energy (no corrections): -7.6077 eV per atom
! * calculated volume: 58.7 Å³ per cell
&SYSTEM
  ibrav = 0, nat = 4, ntyp = 3
/
ATOMIC_SPECIES
Li 6.94 Li.upf
Cu 63.55 Cu.upf
W 183.84 W.upf
CELL_PARAMETERS angstrom
2.6706 0.0000 0.0000
0.0000 2.6706 0.0000
0.0000 0.0000 8.2327
ATOMIC_POSITIONS crystal
Li 0.0000 0.0000 0.0000
Cu 0.5000 0.5000 0.7800
W 0.0000 0.0000 0.5473
W 0.5000 0.5000 0.2664

***

! PmCrGe2 (GGA-PBE, optimized geometry); values from VASP
! * calculated formation energy: -0.382 eV per atom
! * total DFT energy (no corrections): -6.2838 eV per atom
! * calculated volume: 80.4 Å³ per cell
&SYSTEM
  ibrav = 0, nat = 4, ntyp = 3
/
ATOMIC_SPECIES
Pm 145.00 Pm.upf
Cr 52.00 Cr.upf
Ge 72.64 Ge.upf
CELL_PARAMETERS angstrom
2.1141 1.2206 5.1912
-2.1141 1.2206 5.1912
0.0000 -2.4412 5.1912
ATOMIC_POSITIONS crystal
Pm 0.0000 0.0000 0.0000
Cr 0.5000 0.5000 0.5000
Ge 0.2211 0.2211 0.2211
Ge 0.7789 0.7789 0.7789

***

! Mn2CdCu (GGA-PBE, optimized geometry); values from VASP
! * calculated formation energy: 0.339 eV per atom
! * total DFT energy (no corrections): -5.4989 eV per atom
! * calculated volume: 62.7 Å³ per cell
&SYSTEM
  ibrav = 0, nat = 4, ntyp = 3
/
ATOMIC_SPECIES
Mn 54.94 Mn.upf
Cd 112.41 Cd.upf
Cu 63.55 Cu.upf
CELL_PARAMETERS angstrom
-1.5171 2.2683 4.5559
1.5171 -2.2683 4.5559
1.5171 2.2683 -4.5559
ATOMIC_POSITIONS crystal
Mn 0.0000 0.0000 0.0000
Mn 0.7403 0.2403 0.5000
Cd 0.2699 0.7699 0.5000
Cu 0.5147 0.5147 0.0000

***

! Ce2PuTe (GGA-PBE, optimized geometry); values from VASP
! * offset from the most stable computed form: 61 meV per atom
! * total DFT energy (no corrections): -7.8294 eV per atom
! * calculated volume: 110.1 Å³ per cell
! * formation energy (no corrections): -2.0 eV per formula unit
&SYSTEM
  ibrav = 0, nat = 4, ntyp = 3
/
ATOMIC_SPECIES
Ce 140.12 Ce.upf
Pu 244.00 Pu.upf
Te 127.60 Te.upf
CELL_PARAMETERS angstrom
4.0033 0.0000 0.0000
0.0000 4.0033 0.0000
0.0000 0.0000 6.8721
ATOMIC_POSITIONS crystal
Ce 0.0000 0.0000 0.2491
Ce 0.0000 0.0000 0.7509
Pu 0.5000 0.5000 0.5000
Te 0.5000 0.5000 0.0000

***

! Mg2CdMo (GGA-PBE, optimized geometry); values from VASP
! * calculated formation energy: 0.410 eV per atom
! * total DFT energy (no corrections): -3.3240 eV per atom
! * calculated volume: 77.7 Å³ per cell
&SYSTEM
  ibrav = 0, nat = 4, ntyp = 3
/
ATOMIC_SPECIES
Mg 24.30 Mg.upf
Cd 112.41 Cd.upf
Mo 95.94 Mo.upf
CELL_PARAMETERS angstrom
0.0000 3.3873 3.3873
3.3873 0.0000 3.3873
3.3873 3.3873 0.0000
ATOMIC_POSITIONS crystal
Mg 0.0000 0.0000 0.0000
Mg 0.2500 0.2500 0.2500
Cd 0.7500 0.7500 0.7500
Mo 0.5000 0.5000 0.5000

***

What did the seventh record say?
! Ce2PuTe (GGA-PBE, optimized geometry); values from VASP
! * offset from the most stable computed form: 61 meV per atom
! * total DFT energy (no corrections): -7.8294 eV per atom
! * calculated volume: 110.1 Å³ per cell
! * formation energy (no corrections): -2.0 eV per formula unit
&SYSTEM
  ibrav = 0, nat = 4, ntyp = 3
/
ATOMIC_SPECIES
Ce 140.12 Ce.upf
Pu 244.00 Pu.upf
Te 127.60 Te.upf
CELL_PARAMETERS angstrom
4.0033 0.0000 0.0000
0.0000 4.0033 0.0000
0.0000 0.0000 6.8721
ATOMIC_POSITIONS crystal
Ce 0.0000 0.0000 0.2491
Ce 0.0000 0.0000 0.7509
Pu 0.5000 0.5000 0.5000
Te 0.5000 0.5000 0.0000

***

calculated volume of number 8 (Mg2CdMo)? 77.7 Å³ per cell

***

Which value of calculated volume does entry 5 give? 80.4 Å³ per cell

***

The lowest calculated volume belongs to which entry? LiCuW2